Here is a geometry-optimized PrEr4Ge4 structure from Alexandria. Energies are from PBE-GGA.

Lattice parameters (Å, degrees): 9.300 9.300 5.740 90.00 90.00 90.00
Fractional positions:
Pr 0.250 0.250 0.250
Pr 0.750 0.750 0.750
Er 0.097 0.642 0.138
Er 0.142 0.903 0.638
Er 0.358 0.597 0.638
Er 0.403 0.858 0.138
Er 0.597 0.142 0.862
Er 0.642 0.403 0.362
Er 0.858 0.097 0.362
Er 0.903 0.358 0.862
Ge 0.044 0.602 0.645
Ge 0.102 0.956 0.145
Ge 0.398 0.544 0.145
Ge 0.456 0.898 0.645
Ge 0.544 0.102 0.355
Ge 0.602 0.456 0.855
Ge 0.898 0.044 0.855
Ge 0.956 0.398 0.355

Summary:
- N(E_F) (states/eV/cell) = 15.53
- symmetry = P4_2/n

=====

Here is a geometry-optimized PrErGe2Pt5 structure from Alexandria. Energies are from PBE-GGA.

Lattice parameters (Å, degrees): 4.333 4.333 9.005 90.00 90.00 90.00
Fractional positions:
Pr 0.000 0.000 0.000
Er 0.000 0.000 0.500
Ge 0.500 0.500 0.366
Ge 0.500 0.500 0.634
Pt 0.000 0.500 0.235
Pt 0.000 0.500 0.765
Pt 0.500 0.000 0.235
Pt 0.500 0.000 0.765
Pt 0.500 0.500 0.000

Summary:
- N(E_F) (states/eV/cell) = 3.01
- symmetry = P4/mmm

=====

Here is a geometry-optimized PrErGePt structure from Alexandria. Energies are from PBE-GGA.

Lattice parameters (Å, degrees): 7.205 7.205 7.205 90.00 90.00 90.00
Fractional positions:
Pr 0.000 0.000 0.000
Pr 0.000 0.500 0.500
Pr 0.500 0.000 0.500
Pr 0.500 0.500 0.000
Er 0.000 0.000 0.500
Er 0.000 0.500 0.000
Er 0.500 0.000 0.000
Er 0.500 0.500 0.500
Ge 0.250 0.250 0.250
Ge 0.250 0.750 0.750
Ge 0.750 0.250 0.750
Ge 0.750 0.750 0.250
Pt 0.250 0.250 0.750
Pt 0.250 0.750 0.250
Pt 0.750 0.250 0.250
Pt 0.750 0.750 0.750

Summary:
- N(E_F) (states/eV/cell) = 6.26
- symmetry = F-43m

=====

Number 1: E_form -0.578 eV per atom, total magnetic moment 0.0 μB per formula unit. Number 2: E_form -0.855 eV per atom, total magnetic moment 0.0 μB per formula unit. Number 3: E_form -0.860 eV per atom, total magnetic moment 0.0 μB per formula unit.